# La2TcBr

An optimized crystal structure of La2TcBr (PBE, the Alexandria database).

Its volume is 211.3 Å³ per cell. The value obtained for the density of states at the Fermi level is 6.6 states/eV/cell. The formation energy without anion corrections is -0.24 eV per atom. The value obtained for the energy above the lowest structure with this stoichiometry is 9.519 kcal/mol of atoms. As for the total DFT energy (no corrections): -45.7 eV/cell.

It has space group C2/m (No. 12), with a = 7.5525 Å, b = 7.6176 Å, c = 4.6469 Å, α = 90.00°, β = 127.79° and γ = 90.00°. The distinct sites, in fractional coordinates, are La at (0.0000, 0.2264, 0.0000), Tc at (0.0000, 0.0000, 0.5000) and Br at (0.0000, 0.5000, 0.5000).